(1)
TbTlCdTe3: optimized geometry, GGA-PBE.

E in eV/atom: -3.697

Unit cell a=8.836 b=4.476 c=11.225 alpha=90.00 beta=107.69 gamma=90.00
Sites, in units of the cell vectors:
Te1 0.055 0.250 0.855
Te2 0.945 0.750 0.145
Te3 0.245 0.250 0.442
Te4 0.565 0.250 0.859
Te5 0.755 0.750 0.558
Te6 0.435 0.750 0.141
Tb1 0.813 0.750 0.860
Tb2 0.187 0.250 0.140
Tl1 0.754 0.250 0.279
Tl2 0.246 0.750 0.721
Cd1 0.577 0.250 0.611
Cd2 0.423 0.750 0.389


(2)
HoTmTa2Ge2: optimized geometry, GGA-PBE.

E in eV/atom: -7.592

Unit cell a=4.010 b=4.010 c=7.764 alpha=90.00 beta=90.00 gamma=90.00
Sites, in units of the cell vectors:
Ta1 0.500 0.000 0.000
Ta2 0.000 0.500 0.000
Ge1 0.000 0.000 0.750
Ge2 0.500 0.500 0.249
Ho1 0.000 0.000 0.353
Tm1 0.500 0.500 0.649


- Among the records above, which one has the lowest E?
  HoTmTa2Ge2